A plane-wave DFT calculation with PBE with a Hubbard U was carried out for crystalline MgCoPO2 at its relaxed geometry.

Cell and atoms, written as POSCAR:
```
MgCoPO2
1.0
3.731 0.000 0.000
0.000 3.731 0.000
0.000 0.000 5.647
Mg Co P O
1 1 1 2
direct
0.000 0.000 0.000
0.500 0.500 0.500
0.000 0.000 0.500
0.000 0.500 0.000
0.500 0.000 0.000
```

Results
- SG: No. 123
- Excess energy over the best structure of this formula in the dataset: 43.40 kJ/mol of atoms